Record 1
## Sr2NbSe2 (PBE)

Data for crystalline Sr2NbSe2 at its relaxed geometry.

Structure (CIF):
```
data_Sr2NbSe2
_chemical_formula_sum 'Sr4 Nb2 Se4'
_cell_length_a 7.7522
_cell_length_b 7.7522
_cell_length_c 4.3817
_cell_angle_alpha 90.00
_cell_angle_beta 90.00
_cell_angle_gamma 90.00
_space_group_name_H-M_alt 'P 1'
_space_group_IT_number 1
_space_group_name_Hall 'P 1'
loop_
_atom_site_label
_atom_site_type_symbol
_atom_site_fract_x
_atom_site_fract_y
_atom_site_fract_z
Sr1 Sr 0.8424 0.3424 0.5000
Se1 Se 0.1586 0.3414 0.0000
Sr2 Sr 0.1576 0.6576 0.5000
Sr3 Sr 0.3424 0.1576 0.5000
Sr4 Sr 0.6576 0.8424 0.5000
Se2 Se 0.6586 0.1586 0.0000
Nb1 Nb 0.0000 0.0000 0.0000
Nb2 Nb 0.5000 0.5000 0.0000
Se3 Se 0.8414 0.6586 0.0000
Se4 Se 0.3414 0.8414 0.0000
```

**Formation energy from raw total energies**: -20.0 kcal/mol of atoms
**Crystal system**: tetragonal
**Distance to the lowest polymorph of the same formula**: 0.0000 eV per atom
**E_tot**: -4.946 eV/atom

***

Record 2
## Sr2Nb2Se (PBE)

Data for crystalline Sr2Nb2Se at its relaxed geometry.

Structure (CIF):
```
data_Sr2Nb2Se
_chemical_formula_sum 'Sr2 Nb2 Se1'
_cell_length_a 3.7639
_cell_length_b 3.7639
_cell_length_c 10.3290
_cell_angle_alpha 79.50
_cell_angle_beta 79.50
_cell_angle_gamma 90.00
_space_group_name_H-M_alt 'P 1'
_space_group_IT_number 1
_space_group_name_Hall 'P 1'
loop_
_atom_site_label
_atom_site_type_symbol
_atom_site_fract_x
_atom_site_fract_y
_atom_site_fract_z
Nb1 Nb 0.7500 0.2500 0.5000
Sr1 Sr 0.4076 0.4076 0.1849
Nb2 Nb 0.2500 0.7500 0.5000
Se1 Se 0.0000 0.0000 0.0000
Sr2 Sr 0.5924 0.5924 0.8151
```

**Formation energy from raw total energies**: -5.9 kcal/mol of atoms
**Crystal system**: tetragonal
**Distance to the lowest polymorph of the same formula**: 0.0000 eV per atom
**E_tot**: -5.653 eV/atom

***

Record 3
## Sr2Nb2Se (PBE)

Data for crystalline Sr2Nb2Se at its relaxed geometry.

Structure (CIF):
```
data_Sr2Nb2Se
_chemical_formula_sum 'Sr4 Nb4 Se2'
_cell_length_a 8.7380
_cell_length_b 8.7380
_cell_length_c 4.4187
_cell_angle_alpha 90.00
_cell_angle_beta 90.00
_cell_angle_gamma 90.00
_space_group_name_H-M_alt 'P 1'
_space_group_IT_number 1
_space_group_name_Hall 'P 1'
loop_
_atom_site_label
_atom_site_type_symbol
_atom_site_fract_x
_atom_site_fract_y
_atom_site_fract_z
Sr1 Sr 0.2000 0.3000 0.0000
Sr2 Sr 0.7000 0.2000 0.0000
Se1 Se 0.5000 0.5000 0.0000
Sr3 Sr 0.8000 0.7000 0.0000
Sr4 Sr 0.3000 0.8000 0.0000
Nb1 Nb 0.0870 0.5870 0.5000
Nb2 Nb 0.9130 0.4130 0.5000
Se2 Se 0.0000 0.0000 0.0000
Nb3 Nb 0.4130 0.0870 0.5000
Nb4 Nb 0.5870 0.9130 0.5000
```

**Formation energy from raw total energies**: 11.9 kcal/mol of atoms
**Crystal system**: tetragonal
**Distance to the lowest polymorph of the same formula**: 0.7710 eV per atom
**E_tot**: -4.882 eV/atom

***

Record 4
## Sr4Nb2Se (PBE)

Data for crystalline Sr4Nb2Se at its relaxed geometry.

Structure (CIF):
```
data_Sr4Nb2Se
_chemical_formula_sum 'Sr4 Nb2 Se1'
_cell_length_a 6.3862
_cell_length_b 6.3862
_cell_length_c 8.7409
_cell_angle_alpha 68.57
_cell_angle_beta 68.57
_cell_angle_gamma 90.00
_space_group_name_H-M_alt 'P 1'
_space_group_IT_number 1
_space_group_name_Hall 'P 1'
loop_
_atom_site_label
_atom_site_type_symbol
_atom_site_fract_x
_atom_site_fract_y
_atom_site_fract_z
Nb1 Nb 0.5718 0.5718 0.8564
Sr1 Sr 0.0000 0.5000 0.0000
Sr2 Sr 0.1992 0.1992 0.6016
Sr3 Sr 0.5000 0.0000 0.0000
Sr4 Sr 0.8008 0.8008 0.3984
Se1 Se 0.0000 0.0000 0.0000
Nb2 Nb 0.4282 0.4282 0.1436
```

**Formation energy from raw total energies**: 5.6 kcal/mol of atoms
**Crystal system**: tetragonal
**E_tot**: -4.091 eV/atom